# SCAN Ta10Al6B, single point on PBEsol structure
# **Magnetization**: 0.00 μB/f.u.
# **DFT formation energy**: -298 meV per atom
# **E**: -724.840 eV/f.u.
data_Ta10Al6B
_symmetry_space_group_name_H-M 'P 1'
_symmetry_Int_Tables_number 1
_cell_length_a 5.2319
_cell_length_b 7.7696
_cell_length_c 7.7696
_cell_angle_alpha 120.00
_cell_angle_beta 90.00
_cell_angle_gamma 90.00
loop_
_symmetry_equiv_pos_as_xyz
'x,y,z'
loop_
_atom_site_label
_atom_site_type_symbol
_atom_site_fract_x
_atom_site_fract_y
_atom_site_fract_z
Ta1 Ta 0.0000 0.3333 0.6667
Ta2 Ta 0.5000 0.6667 0.3333
Ta3 Ta 0.7613 0.0000 0.7610
Ta4 Ta 0.7613 0.7610 0.0000
Ta5 Ta 0.2387 0.2390 0.0000
Ta6 Ta 0.2387 0.7610 0.7610
Ta7 Ta 0.0000 0.6667 0.3333
Ta8 Ta 0.5000 0.3333 0.6667
Ta9 Ta 0.7613 0.2390 0.2390
Ta10 Ta 0.2387 0.0000 0.2390
Al1 Al 0.2557 0.0000 0.5989
Al2 Al 0.7443 0.5989 0.5989
Al3 Al 0.7443 0.4011 0.0000
Al4 Al 0.7443 0.0000 0.4011
Al5 Al 0.2557 0.4011 0.4011
Al6 Al 0.2557 0.5989 0.0000
B1 B 0.5000 0.0000 0.0000